1.
{"formula": "Tm8Ga2Pt", "functional": "PBE-GGA", "state": "relaxed", "lattice": [[4.879, 0.000, 0.000], [0.000, 6.471, 0.316], [-2.440, -2.359, 8.860]], "species": ["Tm", "Tm", "Tm", "Tm", "Tm", "Tm", "Tm", "Tm", "Ga", "Ga", "Pt"], "fractional_positions": [[0.410, 0.547, 0.820], [0.653, 0.982, 0.307], [0.789, 0.677, 0.577], [0.974, 0.222, 0.948], [0.211, 0.323, 0.423], [0.347, 0.018, 0.693], [0.590, 0.453, 0.180], [0.026, 0.778, 0.052], [0.812, 0.241, 0.624], [0.188, 0.759, 0.376], [0.500, 0.000, 0.000]], "n_ef_per_ev_cell": 9.09, "vol_a3_per_cell": 283.4, "total_energy_ev_per_atom": -4.81}

---

2.
{"formula": "RbTa2TlW", "functional": "PBE-GGA", "state": "relaxed", "lattice": [[-4.637, -1.272, 2.058], [0.742, -5.454, -1.699], [2.324, -1.103, 4.554]], "species": ["Tl", "Rb", "W", "Ta", "Ta"], "fractional_positions": [[0.000, 0.000, 0.000], [0.000, 0.500, 0.000], [0.500, 0.500, 0.500], [0.000, 0.000, 0.500], [0.500, 0.000, 0.000]], "n_ef_per_ev_cell": 6.97, "vol_a3_per_cell": 157.6, "total_energy_ev_per_atom": -5.03}

---

3.
{"formula": "AlSeO3", "functional": "PBE-GGA", "state": "relaxed", "lattice": [[-2.302, -2.767, -0.715], [0.775, 0.279, -3.576], [2.751, -2.394, 0.409]], "species": ["O", "O", "O", "Al", "Se"], "fractional_positions": [[0.000, 0.500, 0.000], [0.000, 0.000, 0.500], [0.500, 0.000, 0.000], [0.000, 0.000, 0.000], [0.500, 0.500, 0.500]], "n_ef_per_ev_cell": 2.07, "vol_a3_per_cell": 49.4, "formation_energy_uncorrected_mev_per_atom": -1082}

---

4.
{"formula": "TbZrGaRu", "functional": "PBE-GGA", "state": "relaxed", "lattice": [[-0.779, 3.271, 3.466], [0.612, -1.203, 4.637], [3.719, 1.808, 2.493]], "species": ["Ru", "Tb", "Ga", "Zr"], "fractional_positions": [[0.750, 0.750, 0.750], [0.500, 0.500, 0.500], [0.250, 0.250, 0.250], [0.000, 0.000, 0.000]], "n_ef_per_ev_cell": 3.17, "vol_a3_per_cell": 79.6, "total_energy_ev_per_atom": -6.77}

---

5.
{"formula": "Nd5Mg2Co2", "functional": "PBE-GGA", "state": "relaxed", "lattice": [[6.969, 0.000, 2.530], [0.000, 7.734, 0.000], [0.545, 0.000, 9.363]], "species": ["Nd", "Nd", "Nd", "Nd", "Nd", "Nd", "Nd", "Nd", "Nd", "Nd", "Mg", "Mg", "Mg", "Mg", "Co", "Co", "Co", "Co"], "fractional_positions": [[0.000, 0.000, 0.000], [0.500, 0.500, 0.000], [0.425, 0.191, 0.774], [0.801, 0.809, 0.774], [0.301, 0.691, 0.774], [0.925, 0.309, 0.774], [0.575, 0.809, 0.226], [0.199, 0.191, 0.226], [0.699, 0.309, 0.226], [0.075, 0.691, 0.226], [0.230, 0.000, 0.541], [0.730, 0.500, 0.541], [0.770, 0.000, 0.459], [0.270, 0.500, 0.459], [0.107, 0.389, 0.000], [0.893, 0.611, 0.000], [0.393, 0.889, 0.000], [0.607, 0.111, 0.000]], "n_ef_per_ev_cell": 15.44, "vol_a3_per_cell": 494.0, "total_energy_ev_per_atom": -4.60}

---

6.
{"formula": "Ho8TmTh2", "functional": "PBE-GGA", "state": "relaxed", "lattice": [[0.102, 5.533, -0.643], [-7.789, -0.911, -6.188], [-9.981, -0.104, 0.401]], "species": ["Ho", "Ho", "Ho", "Ho", "Ho", "Ho", "Ho", "Ho", "Tm", "Th", "Th"], "fractional_positions": [[0.262, 0.140, 0.599], [0.262, 0.599, 0.140], [0.738, 0.860, 0.401], [0.237, 0.547, 0.547], [0.738, 0.401, 0.860], [0.233, 0.181, 0.181], [0.767, 0.819, 0.819], [0.763, 0.453, 0.453], [0.000, 0.000, 0.000], [0.739, 0.281, 0.281], [0.261, 0.719, 0.719]], "n_ef_per_ev_cell": 16.33, "vol_a3_per_cell": 364.3, "relative_energy_ev_per_atom": 0.013}